VASP calculation (PBE) on crystalline PuTi2AgO8 at its relaxed geometry.

```
data_PuTi2AgO8
_chemical_formula_sum 'Pu2 Ti4 Ag2 O16'
_symmetry_space_group_name_H-M 'C 1 2/m 1'
_symmetry_Int_Tables_number 12
_symmetry_space_group_name_Hall '-C 2y'
_cell_length_a 7.062
_cell_length_b 6.931
_cell_length_c 6.175
_cell_angle_alpha 90.00
_cell_angle_beta 92.85
_cell_angle_gamma 90.00
loop_
_atom_site_label
_atom_site_fract_x
_atom_site_fract_y
_atom_site_fract_z
Pu1 0.000 0.000 0.000
Ti1 0.022 0.500 0.261
Ag1 0.000 0.000 0.500
O1 0.000 0.312 0.000
O2 0.000 0.325 0.500
O3 0.210 0.000 0.204
O4 0.215 0.000 0.760
```

## Properties
formation energy from raw total energies = -2269 meV per atom
theoretical density = 6.33 g/cm³
calculated volume = 302 Å³ per cell

***

VASP calculation (PBE) on crystalline PuTiAg2O6 at its relaxed geometry.

```
data_PuTiAg2O6
_chemical_formula_sum 'Pu1 Ti1 Ag2 O6'
_symmetry_space_group_name_H-M 'P 4 m m'
_symmetry_Int_Tables_number 99
_symmetry_space_group_name_Hall 'P 4 -2'
_cell_length_a 5.640
_cell_length_b 5.640
_cell_length_c 4.243
_cell_angle_alpha 90.00
_cell_angle_beta 90.00
_cell_angle_gamma 90.00
loop_
_atom_site_label
_atom_site_fract_x
_atom_site_fract_y
_atom_site_fract_z
Pu1 0.000 0.000 0.000
Ti1 0.500 0.500 0.930
Ag1 0.000 0.500 0.449
O1 0.000 0.000 0.503
O2 0.255 0.255 0.009
O3 0.500 0.500 0.517
```

## Properties
formation energy from raw total energies = -1818 meV per atom
theoretical density = 7.43 g/cm³
calculated volume = 135 Å³ per cell

***

VASP calculation (PBE) on crystalline PuTl2AgO8 at its relaxed geometry.

```
data_PuTl2AgO8
_chemical_formula_sum 'Pu1 Tl2 Ag1 O8'
_symmetry_space_group_name_H-M 'P -1'
_symmetry_Int_Tables_number 2
_symmetry_space_group_name_Hall '-P 1'
_cell_length_a 5.047
_cell_length_b 5.189
_cell_length_c 6.917
_cell_angle_alpha 85.76
_cell_angle_beta 85.59
_cell_angle_gamma 84.76
loop_
_atom_site_label
_atom_site_fract_x
_atom_site_fract_y
_atom_site_fract_z
Pu1 0.000 0.000 0.000
Tl1 0.460 0.464 0.260
Ag1 0.000 0.000 0.500
O1 0.181 0.135 0.245
O2 0.222 0.176 0.824
O3 0.263 0.670 0.510
O4 0.278 0.679 0.000
```

## Properties
formation energy from raw total energies = -1054 meV per atom
theoretical density = 8.22 g/cm³
calculated volume = 179 Å³ per cell

***

VASP calculation (PBE) on crystalline PuTlAg2O8 at its relaxed geometry.

```
data_PuTlAg2O8
_chemical_formula_sum 'Pu2 Tl2 Ag4 O16'
_symmetry_space_group_name_H-M 'I -4 m 2'
_symmetry_Int_Tables_number 119
_symmetry_space_group_name_Hall 'I -4 -2'
_cell_length_a 6.771
_cell_length_b 6.771
_cell_length_c 7.648
_cell_angle_alpha 90.00
_cell_angle_beta 90.00
_cell_angle_gamma 90.00
loop_
_atom_site_label
_atom_site_fract_x
_atom_site_fract_y
_atom_site_fract_z
Pu1 0.000 0.000 0.000
Tl1 0.000 0.500 0.750
Ag1 0.000 0.000 0.500
Ag2 0.000 0.500 0.250
O1 0.000 0.174 0.720
O2 0.000 0.281 0.030
```

## Properties
formation energy from raw total energies = -701 meV per atom
theoretical density = 7.50 g/cm³
calculated volume = 351 Å³ per cell

***

VASP calculation (PBE) on crystalline Pu2TlAgO8 at its relaxed geometry.

```
data_Pu2TlAgO8
_chemical_formula_sum 'Pu2 Tl1 Ag1 O8'
_symmetry_space_group_name_H-M 'P -3'
_symmetry_Int_Tables_number 147
_symmetry_space_group_name_Hall '-P 3'
_cell_length_a 6.0239
_cell_length_b 6.0239
_cell_length_c 6.4573
_cell_angle_alpha 90.00
_cell_angle_beta 90.00
_cell_angle_gamma 120.00
loop_
_atom_site_label
_atom_site_fract_x
_atom_site_fract_y
_atom_site_fract_z
Pu1 0.3333 0.6667 0.4389
Tl1 0.0000 0.0000 0.0000
Ag1 0.0000 0.0000 0.5000
O1 0.0645 0.3898 0.6360
O2 0.3333 0.6667 0.1523
```

## Properties
formation energy from raw total energies = -1552 meV per atom
theoretical density = 7.60 g/cm³
calculated volume = 203 Å³ per cell

***

VASP calculation (PBE) on crystalline PuTlAgO6 at its relaxed geometry.

```
data_PuTlAgO6
_chemical_formula_sum 'Pu2 Tl2 Ag2 O12'
_symmetry_space_group_name_H-M 'P -3 1 c'
_symmetry_Int_Tables_number 163
_symmetry_space_group_name_Hall '-P 3 2c'
_cell_length_a 5.5409
_cell_length_b 5.5409
_cell_length_c 9.7599
_cell_angle_alpha 90.00
_cell_angle_beta 90.00
_cell_angle_gamma 120.00
loop_
_atom_site_label
_atom_site_fract_x
_atom_site_fract_y
_atom_site_fract_z
Pu1 0.3333 0.6667 0.2500
Tl1 0.0000 0.0000 0.0000
Ag1 0.3333 0.6667 0.7500
O1 0.0365 0.3624 0.1321
```

## Properties
formation energy from raw total energies = -1204 meV per atom
theoretical density = 8.35 g/cm³
calculated volume = 259 Å³ per cell

***

VASP calculation (PBE) on crystalline PuTl2AgO6 at its relaxed geometry.

```
data_PuTl2AgO6
_chemical_formula_sum 'Pu1 Tl2 Ag1 O6'
_symmetry_space_group_name_H-M 'P 1'
_symmetry_Int_Tables_number 1
_symmetry_space_group_name_Hall 'P 1'
_cell_length_a 5.790
_cell_length_b 6.073
_cell_length_c 6.360
_cell_angle_alpha 106.54
_cell_angle_beta 98.19
_cell_angle_gamma 116.79
loop_
_atom_site_label
_atom_site_fract_x
_atom_site_fract_y
_atom_site_fract_z
Pu1 0.000 0.000 0.000
Tl1 0.503 0.823 0.391
Tl2 0.708 0.382 0.003
Ag1 0.178 0.473 0.634
O1 0.081 0.800 0.186
O2 0.105 0.850 0.759
O3 0.408 0.337 0.162
O4 0.612 0.673 0.856
O5 0.883 0.202 0.798
O6 0.907 0.180 0.249
```

## Properties
formation energy from raw total energies = -1245 meV per atom
theoretical density = 7.84 g/cm³
calculated volume = 182 Å³ per cell

***

VASP calculation (PBE) on crystalline PuTlAg2O6 at its relaxed geometry.

```
data_PuTlAg2O6
_chemical_formula_sum 'Pu3 Tl3 Ag6 O18'
_symmetry_space_group_name_H-M 'R -3'
_symmetry_Int_Tables_number 148
_symmetry_space_group_name_Hall '-R 3'
_cell_length_a 5.8054
_cell_length_b 5.8054
_cell_length_c 14.6826
_cell_angle_alpha 90.00
_cell_angle_beta 90.00
_cell_angle_gamma 120.00
loop_
_atom_site_label
_atom_site_fract_x
_atom_site_fract_y
_atom_site_fract_z
Pu1 0.0000 0.0000 0.0000
Tl1 0.0000 0.0000 0.5000
Ag1 0.0000 0.0000 0.2414
O1 0.0243 0.4083 0.7468
```

## Properties
formation energy from raw total energies = -1151 meV per atom
theoretical density = 8.84 g/cm³
calculated volume = 429 Å³ per cell

***

VASP calculation (PBE) on crystalline TmPu2AgO8 at its relaxed geometry.

```
data_TmPu2AgO8
_chemical_formula_sum 'Tm2 Pu4 Ag2 O16'
_symmetry_space_group_name_H-M 'I -4 m 2'
_symmetry_Int_Tables_number 119
_symmetry_space_group_name_Hall 'I -4 -2'
_cell_length_a 5.330
_cell_length_b 5.330
_cell_length_c 10.509
_cell_angle_alpha 90.00
_cell_angle_beta 90.00
_cell_angle_gamma 90.00
loop_
_atom_site_label
_atom_site_fract_x
_atom_site_fract_y
_atom_site_fract_z
Tm1 0.000 0.000 0.000
Pu1 0.000 0.000 0.500
Pu2 0.000 0.500 0.750
Ag1 0.000 0.500 0.250
O1 0.231 0.257 0.622
```

## Properties
formation energy from raw total energies = -2321 meV per atom
theoretical density = 9.93 g/cm³
calculated volume = 298 Å³ per cell

***

VASP calculation (PBE) on crystalline TmPuAgO6 at its relaxed geometry.

```
data_TmPuAgO6
_chemical_formula_sum 'Tm1 Pu1 Ag1 O6'
_symmetry_space_group_name_H-M 'P 3 1 2'
_symmetry_Int_Tables_number 149
_symmetry_space_group_name_Hall 'P 3 2'
_cell_length_a 5.7179
_cell_length_b 5.7179
_cell_length_c 4.7567
_cell_angle_alpha 90.00
_cell_angle_beta 90.00
_cell_angle_gamma 120.00
loop_
_atom_site_label
_atom_site_fract_x
_atom_site_fract_y
_atom_site_fract_z
Tm1 0.0000 0.0000 0.0000
Pu1 0.3333 0.6667 0.0000
Ag1 0.6667 0.3333 0.5000
O1 0.0470 0.3630 0.2232
```

## Properties
formation energy from raw total energies = -2061 meV per atom
theoretical density = 7.60 g/cm³
calculated volume = 135 Å³ per cell

***

VASP calculation (PBE) on crystalline Tm2PuAgO8 at its relaxed geometry.

```
data_Tm2PuAgO8
_chemical_formula_sum 'Tm2 Pu1 Ag1 O8'
_symmetry_space_group_name_H-M 'P -1'
_symmetry_Int_Tables_number 2
_symmetry_space_group_name_Hall '-P 1'
_cell_length_a 4.979
_cell_length_b 4.980
_cell_length_c 6.996
_cell_angle_alpha 85.13
_cell_angle_beta 85.21
_cell_angle_gamma 85.86
loop_
_atom_site_label
_atom_site_fract_x
_atom_site_fract_y
_atom_site_fract_z
Tm1 0.031 0.031 0.237
Pu1 0.500 0.500 0.500
Ag1 0.500 0.500 0.000
O1 0.199 0.800 0.000
O2 0.204 0.793 0.500
O3 0.288 0.284 0.678
O4 0.335 0.333 0.255
```

## Properties
formation energy from raw total energies = -2353 meV per atom
theoretical density = 7.90 g/cm³
calculated volume = 172 Å³ per cell

***

VASP calculation (PBE) on crystalline TmPuAg2O6 at its relaxed geometry.

```
data_TmPuAg2O6
_chemical_formula_sum 'Tm3 Pu3 Ag6 O18'
_symmetry_space_group_name_H-M 'R -3'
_symmetry_Int_Tables_number 148
_symmetry_space_group_name_Hall '-R 3'
_cell_length_a 5.7466
_cell_length_b 5.7466
_cell_length_c 14.6972
_cell_angle_alpha 90.00
_cell_angle_beta 90.00
_cell_angle_gamma 120.00
loop_
_atom_site_label
_atom_site_fract_x
_atom_site_fract_y
_atom_site_fract_z
Tm1 0.0000 0.0000 0.0000
Pu1 0.0000 0.0000 0.5000
Ag1 0.0000 0.0000 0.2550
O1 0.0190 0.6054 0.2471
```

## Properties
formation energy from raw total energies = -1955 meV per atom
theoretical density = 8.59 g/cm³
calculated volume = 420 Å³ per cell